No. 1
{
  "formula": "La4GaGeO",
  "functional": "PBE",
  "state": "optimized geometry",
  "lattice": [[3.421, -8.237, 0.000], [3.421, 8.237, 0.000], [0.000, 0.000, 6.837]],
  "species": ["La", "La", "La", "La", "La", "La", "La", "La", "Ga", "Ga", "Ge", "Ge", "O", "O"],
  "fractional_positions": [[0.000, 0.500, 0.000], [0.000, 0.500, 0.500], [0.071, 0.929, 0.750], [0.428, 0.572, 0.750], [0.500, 0.000, 0.000], [0.500, 0.000, 0.500], [0.572, 0.428, 0.250], [0.929, 0.071, 0.250], [0.385, 0.615, 0.250], [0.615, 0.385, 0.750], [0.115, 0.885, 0.250], [0.885, 0.115, 0.750], [0.248, 0.752, 0.750], [0.752, 0.248, 0.250]]
}

No. 2
{
  "formula": "LaGa2GeOs2",
  "functional": "PBE",
  "state": "optimized geometry",
  "formation_energy_ev_per_atom": 0.03,
  "lattice": [[4.590, 0.000, 0.000], [0.000, 4.590, 0.000], [0.000, 0.000, 5.780]],
  "species": ["La", "Ga", "Ga", "Ge", "Os", "Os"],
  "fractional_positions": [[0.000, 0.000, 0.000], [0.500, 0.500, 0.235], [0.500, 0.500, 0.765], [0.000, 0.000, 0.500], [0.000, 0.500, 0.500], [0.500, 0.000, 0.500]]
}

No. 3
{
  "formula": "LaPaGaGe",
  "functional": "PBE",
  "state": "optimized geometry",
  "formation_energy_ev_per_atom": -0.29,
  "lattice": [[0.000, 3.656, 3.656], [3.656, 0.000, 3.656], [3.656, 3.656, 0.000]],
  "species": ["La", "Pa", "Ga", "Ge"],
  "fractional_positions": [[0.000, 0.000, 0.000], [0.500, 0.500, 0.500], [0.750, 0.750, 0.750], [0.250, 0.250, 0.250]]
}

No. 4
{
  "formula": "LaPaGa2Ge2",
  "functional": "PBE",
  "state": "optimized geometry",
  "formation_energy_ev_per_atom": -0.51,
  "lattice": [[4.256, 0.000, 0.000], [-2.128, 3.686, 0.000], [0.000, 0.000, 8.511]],
  "species": ["La", "Pa", "Ga", "Ga", "Ge", "Ge"],
  "fractional_positions": [[0.000, 0.000, 0.000], [0.000, 0.000, 0.500], [0.333, 0.667, 0.708], [0.667, 0.333, 0.292], [0.333, 0.667, 0.235], [0.667, 0.333, 0.765]]
}

No. 5
{
  "formula": "La2GaGePb",
  "functional": "PBE",
  "state": "optimized geometry",
  "formation_energy_ev_per_atom": -0.61,
  "lattice": [[7.273, 0.000, 0.000], [0.000, 4.478, 0.000], [-2.291, 0.000, 9.087]],
  "species": ["La", "La", "La", "La", "Ga", "Ga", "Ge", "Ge", "Pb", "Pb"],
  "fractional_positions": [[0.218, 0.250, 0.413], [0.258, 0.250, 0.988], [0.742, 0.750, 0.012], [0.782, 0.750, 0.587], [0.474, 0.750, 0.273], [0.526, 0.250, 0.727], [0.135, 0.750, 0.175], [0.865, 0.250, 0.825], [0.286, 0.750, 0.705], [0.714, 0.250, 0.295]]
}

No. 6
{
  "formula": "La2Ga3GePd4",
  "functional": "PBE",
  "state": "optimized geometry",
  "formation_energy_ev_per_atom": -0.84,
  "lattice": [[4.402, 0.000, 0.000], [0.000, 4.402, 0.000], [0.000, 0.000, 10.280]],
  "species": ["La", "La", "Ga", "Ga", "Ga", "Ge", "Pd", "Pd", "Pd", "Pd"],
  "fractional_positions": [[0.000, 0.500, 0.243], [0.500, 0.000, 0.757], [0.000, 0.000, 0.000], [0.000, 0.500, 0.626], [0.500, 0.000, 0.374], [0.500, 0.500, 0.000], [0.000, 0.000, 0.500], [0.000, 0.500, 0.870], [0.500, 0.000, 0.130], [0.500, 0.500, 0.500]]
}

No. 7
{
  "formula": "La2Ga4GePd3",
  "functional": "PBE",
  "state": "optimized geometry",
  "formation_energy_ev_per_atom": -0.77,
  "lattice": [[4.429, 0.000, 0.000], [0.000, 4.429, 0.000], [0.000, 0.000, 10.281]],
  "species": ["La", "La", "Ga", "Ga", "Ga", "Ga", "Ge", "Pd", "Pd", "Pd"],
  "fractional_positions": [[0.000, 0.500, 0.249], [0.500, 0.000, 0.751], [0.000, 0.000, 0.000], [0.000, 0.500, 0.637], [0.500, 0.000, 0.363], [0.500, 0.500, 0.000], [0.000, 0.000, 0.500], [0.000, 0.500, 0.876], [0.500, 0.000, 0.124], [0.500, 0.500, 0.500]]
}

No. 8
{
  "formula": "LaGaGe2Pd",
  "functional": "PBE",
  "state": "optimized geometry",
  "formation_energy_ev_per_atom": -0.66,
  "lattice": [[-2.210, 2.210, 5.202], [2.210, -2.210, 5.202], [2.210, 2.210, -5.202]],
  "species": ["La", "Ga", "Ge", "Ge", "Pd"],
  "fractional_positions": [[0.000, 0.000, 0.000], [0.250, 0.750, 0.500], [0.379, 0.379, 0.000], [0.621, 0.621, 0.000], [0.750, 0.250, 0.500]]
}

No. 9
{
  "formula": "La2GaGe3Pd4",
  "functional": "PBE",
  "state": "optimized geometry",
  "formation_energy_ev_per_atom": -0.87,
  "lattice": [[4.396, 0.000, 0.000], [0.000, 4.396, 0.000], [0.000, 0.000, 10.243]],
  "species": ["La", "La", "Ga", "Ge", "Ge", "Ge", "Pd", "Pd", "Pd", "Pd"],
  "fractional_positions": [[0.000, 0.500, 0.247], [0.500, 0.000, 0.753], [0.500, 0.500, 0.000], [0.000, 0.000, 0.000], [0.000, 0.500, 0.627], [0.500, 0.000, 0.373], [0.000, 0.000, 0.500], [0.000, 0.500, 0.870], [0.500, 0.000, 0.130], [0.500, 0.500, 0.500]]
}

No. 10
{
  "formula": "La2Pm2GaGe4",
  "functional": "PBE",
  "state": "optimized geometry",
  "formation_energy_ev_per_atom": -0.39,
  "lattice": [[-3.580, 3.580, 4.490], [3.580, -3.580, 4.490], [3.580, 3.580, -4.490]],
  "species": ["La", "La", "Pm", "Pm", "Ga", "Ge", "Ge", "Ge", "Ge"],
  "fractional_positions": [[0.250, 0.750, 0.500], [0.750, 0.250, 0.500], [0.189, 0.189, 0.000], [0.811, 0.811, 0.000], [0.500, 0.500, 0.000], [0.251, 0.251, 0.501], [0.251, 0.749, 0.000], [0.749, 0.251, 0.000], [0.749, 0.749, 0.499]]
}

No. 11
{
  "formula": "LaPrGaGe",
  "functional": "PBE",
  "state": "optimized geometry",
  "formation_energy_ev_per_atom": -0.75,
  "lattice": [[4.154, 0.000, 0.000], [0.000, 2.267, 5.734], [0.000, -2.267, 5.734]],
  "species": ["La", "Pr", "Ga", "Ge"],
  "fractional_positions": [[0.000, 0.000, 0.000], [0.500, 0.719, 0.719], [0.500, 0.429, 0.429], [0.000, 0.284, 0.284]]
}

No. 12
{
  "formula": "LaPrGaGe",
  "functional": "PBE",
  "state": "optimized geometry",
  "formation_energy_ev_per_atom": -0.59,
  "lattice": [[0.000, 3.742, 3.742], [3.742, 0.000, 3.742], [3.742, 3.742, 0.000]],
  "species": ["La", "Pr", "Ga", "Ge"],
  "fractional_positions": [[0.000, 0.000, 0.000], [0.500, 0.500, 0.500], [0.750, 0.750, 0.750], [0.250, 0.250, 0.250]]
}

No. 13
{
  "formula": "La2GaGe4Pt3",
  "functional": "PBE",
  "state": "optimized geometry",
  "formation_energy_ev_per_atom": -0.90,
  "lattice": [[4.409, 0.000, 0.000], [0.000, 4.409, 0.000], [0.000, 0.000, 10.299]],
  "species": ["La", "La", "Ga", "Ge", "Ge", "Ge", "Ge", "Pt", "Pt", "Pt"],
  "fractional_positions": [[0.000, 0.500, 0.248], [0.500, 0.000, 0.752], [0.000, 0.000, 0.500], [0.000, 0.000, 0.000], [0.000, 0.500, 0.637], [0.500, 0.000, 0.363], [0.500, 0.500, 0.000], [0.000, 0.500, 0.878], [0.500, 0.000, 0.122], [0.500, 0.500, 0.500]]
}

No. 14
{
  "formula": "La3GaGe2Pt9",
  "functional": "PBE",
  "state": "optimized geometry",
  "formation_energy_ev_per_atom": -0.70,
  "lattice": [[6.534, 0.000, 0.000], [-3.267, 5.659, 0.000], [0.000, 0.000, 9.111]],
  "species": ["La", "La", "La", "Ga", "Ge", "Ge", "Pt", "Pt", "Pt", "Pt", "Pt", "Pt", "Pt", "Pt", "Pt"],
  "fractional_positions": [[0.000, 0.000, 0.000], [0.333, 0.667, 0.717], [0.667, 0.333, 0.283], [0.000, 0.000, 0.500], [0.333, 0.667, 0.188], [0.667, 0.333, 0.812], [0.000, 0.500, 0.000], [0.139, 0.278, 0.284], [0.139, 0.861, 0.284], [0.278, 0.139, 0.716], [0.500, 0.000, 0.000], [0.500, 0.500, 0.000], [0.722, 0.861, 0.284], [0.861, 0.139, 0.716], [0.861, 0.722, 0.716]]
}

No. 15
{
  "formula": "La2GaGe3Pt4",
  "functional": "PBE",
  "state": "optimized geometry",
  "formation_energy_ev_per_atom": -1.00,
  "lattice": [[4.424, 0.000, 0.000], [0.000, 4.424, 0.000], [0.000, 0.000, 10.124]],
  "species": ["La", "La", "Ga", "Ge", "Ge", "Ge", "Pt", "Pt", "Pt", "Pt"],
  "fractional_positions": [[0.000, 0.500, 0.246], [0.500, 0.000, 0.754], [0.500, 0.500, 0.000], [0.000, 0.000, 0.000], [0.000, 0.500, 0.627], [0.500, 0.000, 0.373], [0.000, 0.000, 0.500], [0.000, 0.500, 0.873], [0.500, 0.000, 0.127], [0.500, 0.500, 0.500]]
}

No. 16
{
  "formula": "LaGaGePt3",
  "functional": "PBE",
  "state": "optimized geometry",
  "formation_energy_ev_per_atom": -0.80,
  "lattice": [[2.852, -8.007, 0.000], [2.852, 8.007, 0.000], [0.000, 0.000, 5.738]],
  "species": ["La", "La", "Ga", "Ga", "Ge", "Ge", "Pt", "Pt", "Pt", "Pt", "Pt", "Pt"],
  "fractional_positions": [[0.191, 0.809, 0.750], [0.809, 0.191, 0.250], [0.097, 0.903, 0.250], [0.903, 0.097, 0.750], [0.407, 0.593, 0.250], [0.593, 0.407, 0.750], [0.250, 0.250, 0.000], [0.250, 0.250, 0.500], [0.252, 0.748, 0.250], [0.748, 0.252, 0.750], [0.750, 0.750, 0.000], [0.750, 0.750, 0.500]]
}

No. 17
{
  "formula": "LaPuGaGe",
  "functional": "PBE",
  "state": "optimized geometry",
  "formation_energy_ev_per_atom": -0.43,
  "lattice": [[0.000, 3.667, 3.667], [3.667, 0.000, 3.667], [3.667, 3.667, 0.000]],
  "species": ["La", "Pu", "Ga", "Ge"],
  "fractional_positions": [[0.000, 0.000, 0.000], [0.500, 0.500, 0.500], [0.750, 0.750, 0.750], [0.250, 0.250, 0.250]]
}

No. 18
{
  "formula": "La2GaGe3Rh4",
  "functional": "PBE",
  "state": "optimized geometry",
  "formation_energy_ev_per_atom": -0.89,
  "lattice": [[4.296, 0.000, 0.000], [0.000, 4.296, 0.000], [0.000, 0.000, 10.253]],
  "species": ["La", "La", "Ga", "Ge", "Ge", "Ge", "Rh", "Rh", "Rh", "Rh"],
  "fractional_positions": [[0.000, 0.500, 0.246], [0.500, 0.000, 0.754], [0.500, 0.500, 0.000], [0.000, 0.000, 0.000], [0.000, 0.500, 0.628], [0.500, 0.000, 0.372], [0.000, 0.000, 0.500], [0.000, 0.500, 0.870], [0.500, 0.000, 0.130], [0.500, 0.500, 0.500]]
}

No. 19
{
  "formula": "La2GaGeRh",
  "functional": "PBE",
  "state": "optimized geometry",
  "formation_energy_ev_per_atom": -0.74,
  "lattice": [[4.385, 0.000, 0.000], [0.000, 4.385, 0.000], [0.000, 0.000, 13.777]],
  "species": ["La", "La", "La", "La", "Ga", "Ga", "Ge", "Ge", "Rh", "Rh"],
  "fractional_positions": [[0.250, 0.250, 0.112], [0.250, 0.250, 0.665], [0.750, 0.750, 0.335], [0.750, 0.750, 0.888], [0.250, 0.250, 0.405], [0.750, 0.750, 0.595], [0.250, 0.250, 0.884], [0.750, 0.750, 0.116], [0.250, 0.750, 0.500], [0.750, 0.250, 0.500]]
}

No. 20
{
  "formula": "LaGaGeRh3",
  "functional": "PBE",
  "state": "optimized geometry",
  "formation_energy_ev_per_atom": -0.59,
  "lattice": [[2.853, -7.668, 0.000], [2.853, 7.668, 0.000], [0.000, 0.000, 5.724]],
  "species": ["La", "La", "Ga", "Ga", "Ge", "Ge", "Rh", "Rh", "Rh", "Rh", "Rh", "Rh"],
  "fractional_positions": [[0.228, 0.772, 0.750], [0.772, 0.228, 0.250], [0.097, 0.903, 0.250], [0.903, 0.097, 0.750], [0.414, 0.586, 0.250], [0.586, 0.414, 0.750], [0.245, 0.245, 0.000], [0.245, 0.245, 0.500], [0.256, 0.744, 0.250], [0.744, 0.256, 0.750], [0.755, 0.755, 0.000], [0.755, 0.755, 0.500]]
}

Number 1: magnetic moment 0.00 μB per formula unit, raw total energy -5.820 eV/atom. Number 2: magnetic moment 0.00 μB per formula unit, raw total energy -6.309 eV/atom. Number 3: magnetic moment 1.98 μB per formula unit, raw total energy -5.811 eV/atom. Number 4: magnetic moment 0.00 μB per formula unit, raw total energy -5.457 eV/atom. Number 5: magnetic moment 0.00 μB per formula unit, raw total energy -4.854 eV/atom. Number 6: magnetic moment 0.00 μB per formula unit, raw total energy -5.268 eV/atom. Number 7: magnetic moment 0.00 μB per formula unit, raw total energy -4.984 eV/atom. Number 8: magnetic moment 0.00 μB per formula unit, raw total energy -5.134 eV/atom. Number 9: magnetic moment 0.00 μB per formula unit, raw total energy -5.618 eV/atom. Number 10: magnetic moment 0.00 μB per formula unit, raw total energy -4.934 eV/atom. Number 11: magnetic moment 0.33 μB per formula unit, raw total energy -5.088 eV/atom. Number 12: magnetic moment 0.00 μB per formula unit, raw total energy -4.923 eV/atom. Number 13: magnetic moment 0.00 μB per formula unit, raw total energy -5.848 eV/atom. Number 14: magnetic moment 0.00 μB per formula unit, raw total energy -6.124 eV/atom. Number 15: magnetic moment 0.00 μB per formula unit, raw total energy -6.087 eV/atom. Number 16: magnetic moment 0.00 μB per formula unit, raw total energy -5.914 eV/atom. Number 17: magnetic moment 5.64 μB per formula unit, raw total energy -7.160 eV/atom. Number 18: magnetic moment 0.00 μB per formula unit, raw total energy -6.508 eV/atom. Number 19: magnetic moment 0.00 μB per formula unit, raw total energy -5.713 eV/atom. Number 20: magnetic moment 0.00 μB per formula unit, raw total energy -6.359 eV/atom.